[1]
Entry from OQMD: a geometry-optimized Zr2Pb structure (PBE).

Geometry as POSCAR:
```
Zr2Pb
1.0
-2.190 -3.116 4.504
-5.728 -1.404 0.106
-1.681 -5.594 -0.825
Pb Zr
2 4
Cartesian
0.000 0.000 0.000
-2.400 -2.529 0.946
-5.159 -3.525 2.778
-3.135 -5.619 2.313
-4.904 -4.763 0.114
-5.999 -6.321 2.366
```

Calculated values
For the calculated density, the calculation gives 8.9 g cm⁻³. The calculation puts the final energy at -40.649 eV/cell.

---

[2]
Entry from OQMD: a geometry-optimized Pm2Pd structure (PBE).

Geometry as POSCAR:
```
Pm2Pd
1.0
2.790 -5.281 -1.295
-2.152 -3.579 -4.462
3.133 -0.603 -5.213
Pd Pm
2 4
Cartesian
0.000 0.000 0.000
0.943 -2.366 -2.742
0.790 -5.613 -4.250
3.433 -4.125 -4.625
0.962 -3.274 -6.209
2.357 -5.915 -6.856
```

Calculated values
The polymorph energy (0 for the lowest one) comes out at 0.000 eV/atom. For the calculated density, the calculation gives 8.2 g cm⁻³. The calculation puts the formation energy at 1.25 eV/f.u.

---

[3]
Entry from OQMD: a geometry-optimized Pm2Pd structure (PBE).

Geometry as POSCAR:
```
Pm2Pd
1.0
4.399 2.540 7.183
-4.399 2.540 7.183
0.000 -5.079 7.183
Pd Pm
2 4
Cartesian
0.000 0.000 5.388
0.000 0.000 10.775
2.199 1.270 11.673
-2.199 1.270 11.673
0.000 0.000 8.081
0.000 -2.540 11.673
```

Calculated values
The polymorph energy (0 for the lowest one) comes out at 0.514 eV/atom. For the calculated density, the calculation gives 2.7 g cm⁻³. The calculation puts the formation energy at 2.79 eV/f.u.

---

[4]
Entry from OQMD: a geometry-optimized Pm3PdPt8 structure (PBE).

Geometry as POSCAR:
```
Pm3PdPt8
1.0
1.797 -6.931 6.166
4.882 -2.695 7.628
-0.379 -2.833 9.006
Pd Pm Pt
1 3 8
Cartesian
5.469 -10.815 19.792
2.380 -4.707 8.615
3.205 -6.337 11.597
6.224 -12.308 22.524
1.188 -2.349 4.299
3.661 -8.942 13.078
5.216 -6.806 13.815
6.099 -10.272 16.889
4.337 -8.577 15.696
3.471 -10.341 17.578
5.013 -8.225 18.308
2.564 -6.876 14.510
```

Calculated values
For the calculated density, the calculation gives 15.3 g cm⁻³. The calculation puts the formation energy at -11.03 eV/f.u.

---

[5]
Entry from OQMD: a geometry-optimized Pm2Pd5Pt structure (PBE).

Geometry as POSCAR:
```
Pm2Pd5Pt
1.0
5.897 0.000 0.000
0.000 11.798 0.000
0.000 0.000 4.185
Pd Pm Pt
10 4 2
Cartesian
2.949 0.000 0.000
5.885 2.943 0.000
2.936 2.956 0.000
0.000 5.899 0.000
2.961 8.842 0.000
0.012 8.855 0.000
1.461 1.471 2.092
4.410 4.428 2.092
1.487 7.370 2.092
4.436 10.327 2.092
4.417 1.473 2.092
1.469 4.426 2.092
4.428 7.372 2.092
1.480 10.325 2.092
0.000 0.000 0.000
2.949 5.899 0.000
```

Calculated values
For the calculated density, the calculation gives 11.6 g cm⁻³. The calculation puts the formation energy at -6.64 eV/f.u.

---

[6]
Entry from OQMD: a geometry-optimized PmPuPd structure (PBE).

Geometry as POSCAR:
```
PmPuPd
1.0
0.000 3.485 3.485
3.485 0.000 3.485
3.485 3.485 0.000
Pd Pm Pu
1 1 1
Cartesian
0.000 0.000 0.000
1.743 1.743 1.743
5.228 5.228 5.228
```

Calculated values
The polymorph energy (0 for the lowest one) comes out at 0.000 eV/atom. For the calculated density, the calculation gives 9.7 g cm⁻³. The calculation puts the formation energy at -0.82 eV/f.u.

---

[7]
Entry from OQMD: a geometry-optimized PmRePd structure (PBE).

Geometry as POSCAR:
```
PmRePd
1.0
0.000 3.293 3.293
3.293 0.000 3.293
3.293 3.293 0.000
Pd Pm Re
1 1 1
Cartesian
3.293 3.293 3.293
1.647 1.647 1.647
0.000 0.000 0.000
```

Calculated values
The polymorph energy (0 for the lowest one) comes out at 0.538 eV/atom. For the calculated density, the calculation gives 10.2 g cm⁻³. The calculation puts the formation energy at 3.60 eV/f.u.

---

[8]
Entry from OQMD: a geometry-optimized PmRePd structure (PBE).

Geometry as POSCAR:
```
PmRePd
1.0
0.000 3.267 3.267
3.267 0.000 3.267
3.267 3.267 0.000
Pd Pm Re
1 1 1
Cartesian
0.000 0.000 0.000
1.634 1.634 1.634
4.901 4.901 4.901
```

Calculated values
The polymorph energy (0 for the lowest one) comes out at 0.000 eV/atom. For the calculated density, the calculation gives 10.4 g cm⁻³. The calculation puts the formation energy at 1.98 eV/f.u.